# 1
HoEr2Ga3 after structural relaxation. Source: the Alexandria database, functional GGA-PBE.

It has space group P-3m1 (No. 164), with a = 5.0093 Å, b = 5.0093 Å, c = 12.2970 Å, α = 90.00°, β = 90.00° and γ = 120.00°. The distinct sites, in fractional coordinates, are Ho at (0.3333, 0.6667, 0.1667), Er at (0.0000, 0.0000, 0.0000), Er at (0.0000, 0.0000, 0.5000), Er at (0.3333, 0.6667, 0.6662), Ga at (0.0000, 0.0000, 0.2504), Ga at (0.3333, 0.6667, 0.4170) and Ga at (0.3333, 0.6667, 0.9164).

Its volume is 22.27 A^3/atom. Its polymorph energy (0 for the lowest one) is 0 meV per atom. The value obtained for the magnetization is 0.00 μB per atom. The value obtained for the formation energy is -0.58 eV per atom. For the density of states at the Fermi level, the calculation gives 2.375 states/eV/f.u.


# 2
ZrMn2Si after structural relaxation. Source: the Alexandria database, functional GGA-PBE.

It has space group R3m (No. 160, hexagonal axes), with a = 2.8820 Å, b = 2.8820 Å, c = 25.8074 Å, α = 90.00°, β = 90.00° and γ = 120.00°. The distinct sites, in fractional coordinates, are Zr at (0.0000, 0.0000, 0.0000), Mn at (0.0000, 0.0000, 0.5009), Mn at (0.0000, 0.0000, 0.7621) and Si at (0.0000, 0.0000, 0.2390).

Its volume is 15.47 A^3/atom. The value obtained for the magnetization is 0.23 μB per atom. Its energy relative to the elements, uncorrected is 145 meV per atom. For the density of states at the Fermi level, the calculation gives 3.312 states/eV/f.u.


# 3
MgZrInHg after structural relaxation. Source: the Alexandria database, functional GGA-PBE.

It has space group F-43m (No. 216), with a = 7.0638 Å, b = 7.0638 Å, c = 7.0638 Å, α = 90.00°, β = 90.00° and γ = 90.00°. The distinct sites, in fractional coordinates, are Mg at (0.0000, 0.0000, 0.0000), Zr at (0.0000, 0.0000, 0.5000), In at (0.2500, 0.2500, 0.2500) and Hg at (0.2500, 0.2500, 0.7500).

Its volume is 22.03 A^3/atom. Its polymorph energy (0 for the lowest one) is 179 meV per atom. The value obtained for the magnetization is 0.00 μB per atom. The value obtained for the formation energy is -0.08 eV per atom. For the density of states at the Fermi level, the calculation gives 2.879 states/eV/f.u.